The following is a DFT calculation (PBE) of a geometry-optimized Li3Hg2Au2 structure.

a = 5.0176 Å, b = 5.0176 Å, c = 6.8785 Å
α = 97.92°, β = 97.92°, γ = 48.02°
Last column: nearest neighbours and their distance in Å.
Fractional coordinates of all 7 atoms:
Li: 0.0000 0.0000 0.0000  4 Au 2.76, 2 Hg 2.85, 6 Li 2.91-2.97
Li: 0.2870 0.2870 0.8491  4 Au 2.68-2.88, 2 Hg 2.83, 3 Li 2.91-2.97
Li: 0.7130 0.7130 0.1509  4 Au 2.68-2.88, 2 Hg 2.83, 3 Li 2.91-2.97
Hg: 0.1348 0.1348 0.4012  3 Li 2.83-2.85, 3 Au 2.97-3.01, 3 Hg 3.00-3.10
Hg: 0.8652 0.8652 0.5988  3 Li 2.83-2.85, 3 Au 2.97-3.01, 3 Hg 3.00-3.10
Au: 0.4121 0.4121 0.2270  6 Li 2.68-2.88, 1 Hg 2.97
Au: 0.5879 0.5879 0.7730  6 Li 2.68-2.88, 1 Hg 2.97

Summary:
formation energy from the elements	-0.349	eV/atom
crystal system	monoclinic
energy above the lowest structure with this stoichiometry	2.6	kJ/mol of formula units
D(E_F)	1.4	states/eV/f.u.

The following is a DFT calculation (PBE) of a geometry-optimized TiPN3 structure.

a = 6.3177 Å, b = 4.7268 Å, c = 7.6113 Å
α = 90.00°, β = 117.37°, γ = 90.00°
Last column: nearest neighbours and their distance in Å.
Fractional coordinates of all 20 atoms:
Ti: 0.1970 0.2142 0.1166  3 N 1.93-2.05
Ti: 0.1970 0.2858 0.6166  3 N 1.93-2.05
Ti: 0.8030 0.7142 0.3834  3 N 1.93-2.05
Ti: 0.8030 0.7858 0.8834  3 N 1.93-2.05
P: 0.4056 0.7421 0.4925  5 N 1.69-1.83
P: 0.4056 0.7579 0.9925  5 N 1.69-1.83
P: 0.5944 0.2421 0.0075  5 N 1.69-1.83
P: 0.5944 0.2579 0.5075  5 N 1.69-1.83
N: 0.1428 0.6671 0.4887  1 P 1.69
N: 0.1428 0.8329 0.9887  1 P 1.69
N: 0.3104 0.0876 0.4034  2 P 1.76-1.79
N: 0.3104 0.4124 0.9034  2 P 1.76-1.79
N: 0.4479 0.5374 0.3253  2 P 1.71-1.83
N: 0.4479 0.9626 0.8253  2 P 1.71-1.83
N: 0.5521 0.0374 0.1747  2 P 1.71-1.83
N: 0.5521 0.4626 0.6747  2 P 1.71-1.83
N: 0.6896 0.5876 0.0966  2 P 1.76-1.79
N: 0.6896 0.9124 0.5966  2 P 1.76-1.79
N: 0.8572 0.1671 0.0113  1 P 1.69
N: 0.8572 0.3329 0.5113  1 P 1.69

Summary:
crystal system	monoclinic
formation energy from raw total energies	-551.7	meV per atom
D(E_F)	0.0	states/eV/f.u.

The following is a DFT calculation (PBE) of a geometry-optimized AcPr2Nd3Te6 structure.

a = 7.8812 Å, b = 7.8812 Å, c = 7.9115 Å
α = 99.56°, β = 99.56°, γ = 120.40°
Last column: nearest neighbours and their distance in Å.
Fractional coordinates of all 12 atoms:
Ac: 0.0000 0.0000 0.0000  6 Te 3.27-3.30
Pr: 0.3317 0.6683 0.0000  6 Te 3.22-3.23
Pr: 0.6683 0.3317 0.0000  6 Te 3.22-3.23
Nd: 0.1624 0.8376 0.5000  6 Te 3.18-3.20
Nd: 0.5000 0.5000 0.5000  6 Te 3.16-3.20
Nd: 0.8376 0.1624 0.5000  6 Te 3.18-3.20
Te: 0.0868 0.4265 0.2586  3 Nd 3.18-3.20, 2 Pr 3.22-3.23, 1 Ac 3.30
Te: 0.2568 0.2568 0.7476  3 Nd 3.16-3.19, 2 Pr 3.22, 1 Ac 3.27
Te: 0.4265 0.0868 0.2586  3 Nd 3.18-3.20, 2 Pr 3.22-3.23, 1 Ac 3.30
Te: 0.5735 0.9132 0.7414  3 Nd 3.18-3.20, 2 Pr 3.22-3.23, 1 Ac 3.30
Te: 0.7432 0.7432 0.2524  3 Nd 3.16-3.19, 2 Pr 3.22, 1 Ac 3.27
Te: 0.9132 0.5735 0.7414  3 Nd 3.18-3.20, 2 Pr 3.22-3.23, 1 Ac 3.30

Summary:
crystal system	monoclinic
formation energy from raw total energies	-1438.3	meV per atom
D(E_F)	6.7	states/eV/f.u.

The following is a DFT calculation (PBE) of a geometry-optimized DyMgPd4 structure.

a = 5.1272 Å, b = 5.1272 Å, c = 6.2312 Å
α = 108.44°, β = 108.44°, γ = 42.89°
Last column: nearest neighbours and their distance in Å.
Fractional coordinates of all 6 atoms:
Dy: 0.0000 0.0000 0.0000  10 Pd 2.87-2.99, 2 Mg 3.12
Mg: 0.0000 0.0000 0.5000  10 Pd 2.79-3.05, 2 Dy 3.12
Pd: 0.3327 0.3327 0.1839  2 Mg 2.79, 6 Pd 2.89-2.97, 3 Dy 2.94-2.99
Pd: 0.3390 0.3390 0.6543  3 Mg 2.79-3.05, 6 Pd 2.81-2.95, 2 Dy 2.87
Pd: 0.6610 0.6610 0.3457  3 Mg 2.79-3.05, 6 Pd 2.81-2.95, 2 Dy 2.87
Pd: 0.6673 0.6673 0.8161  2 Mg 2.79, 6 Pd 2.89-2.97, 3 Dy 2.94-2.99

Summary:
formation energy from the elements	-0.672	eV/atom
crystal system	monoclinic
D(E_F)	2.4	states/eV/f.u.

The following is a DFT calculation (PBE) of a geometry-optimized Hg3CBr structure.

a = 4.8353 Å, b = 4.8353 Å, c = 4.8353 Å
α = 90.00°, β = 90.00°, γ = 90.00°
Last column: nearest neighbours and their distance in Å.
Fractional coordinates of all 5 atoms:
Hg: 0.0000 0.0000 0.5000  2 C 2.42
Hg: 0.0000 0.5000 0.0000  2 C 2.42
Hg: 0.5000 0.0000 0.0000  2 C 2.42
C: 0.0000 0.0000 0.0000  6 Hg 2.42
Br: 0.5000 0.5000 0.5000  12 Hg 3.42

Summary:
crystal system	cubic
energy above the lowest structure with this stoichiometry	0.0	kJ/mol of formula units
formation energy from raw total energies	668.6	meV per atom
D(E_F)	1.5	states/eV/f.u.

The following is a DFT calculation (PBE) of a geometry-optimized AcPmEr2 structure.

a = 11.8887 Å, b = 11.8887 Å, c = 11.8887 Å
α = 17.88°, β = 17.88°, γ = 17.88°
Last column: nearest neighbours and their distance in Å.
Fractional coordinates of all 4 atoms:
Ac: 0.0000 0.0000 0.0000  6 Er 3.68, 6 Ac 3.70
Pm: 0.5000 0.5000 0.5000  6 Er 3.56, 6 Pm 3.70
Er: 0.2477 0.2477 0.2477  3 Pm 3.56, 3 Ac 3.68, 6 Er 3.70
Er: 0.7523 0.7523 0.7523  3 Pm 3.56, 3 Ac 3.68, 6 Er 3.70

Summary:
formation energy from the elements	0.051	eV/atom
crystal system	trigonal
energy above the lowest structure with this stoichiometry	0.0	kJ/mol of formula units
D(E_F)	4.3	states/eV/f.u.

The following is a DFT calculation (PBE) of a geometry-optimized LaPm2Ga2 structure.

a = 7.8771 Å, b = 7.8771 Å, c = 4.4971 Å
α = 90.00°, β = 90.00°, γ = 90.00°
Last column: nearest neighbours and their distance in Å.
Fractional coordinates of all 10 atoms:
La: 0.0000 0.0000 0.0000  4 Ga 3.16
La: 0.5000 0.5000 0.0000  4 Ga 3.16
Pm: 0.1746 0.3254 0.5000  6 Ga 3.24
Pm: 0.3254 0.8254 0.5000  6 Ga 3.24
Pm: 0.6746 0.1746 0.5000  6 Ga 3.24
Pm: 0.8254 0.6746 0.5000  6 Ga 3.24
Ga: 0.1162 0.6162 0.0000  1 Ga 2.59
Ga: 0.3838 0.1162 0.0000  1 Ga 2.59
Ga: 0.6162 0.8838 0.0000  1 Ga 2.59
Ga: 0.8838 0.3838 0.0000  1 Ga 2.59

Summary:
formation energy from the elements	-0.481	eV/atom
crystal system	tetragonal
energy above the lowest structure with this stoichiometry	0.0	kJ/mol of formula units
D(E_F)	4.7	states/eV/f.u.

The following is a DFT calculation (PBE) of a geometry-optimized MgTl2Re structure.

a = 5.6824 Å, b = 5.6824 Å, c = 5.6824 Å
α = 142.62°, β = 132.72°, γ = 61.77°
Last column: nearest neighbours and their distance in Å.
Fractional coordinates of all 4 atoms:
Mg: 0.0000 0.0000 0.0000  2 Re 2.87, 8 Tl 2.93-3.21
Tl: 0.4672 0.4672 0.0000  4 Mg 2.93, 2 Re 2.96, 4 Tl 3.16-3.23
Tl: 0.7320 0.2320 0.5000  4 Re 2.92, 4 Tl 3.16-3.23, 4 Mg 3.19-3.21
Re: 0.2278 0.7278 0.5000  2 Mg 2.87, 6 Tl 2.92-2.96

Summary:
formation energy from the elements	0.688	eV/atom
crystal system	orthorhombic
energy above the lowest structure with this stoichiometry	38.5	kJ/mol of formula units
D(E_F)	2.2	states/eV/f.u.

The following is a DFT calculation (PBE) of a geometry-optimized AcHS2 structure.

a = 6.6718 Å, b = 6.6718 Å, c = 6.6718 Å
α = 40.22°, β = 40.22°, γ = 40.22°
Last column: nearest neighbours and their distance in Å.
Fractional coordinates of all 4 atoms:
Ac: 0.0000 0.0000 0.0000  6 S 3.01
H: 0.5000 0.5000 0.5000  2 S 1.64
S: 0.4108 0.4108 0.4108  1 H 1.64
S: 0.5892 0.5892 0.5892  1 H 1.64

Summary:
crystal system	trigonal
energy above the lowest structure with this stoichiometry	22.6	kJ/mol of formula units
D(E_F)	0.0	states/eV/f.u.

The following is a DFT calculation (PBE) of a geometry-optimized Cs2Na2Ga structure.

a = 12.8238 Å, b = 12.8238 Å, c = 12.8238 Å
α = 159.02°, β = 159.02°, γ = 29.84°
Last column: nearest neighbours and their distance in Å.
Fractional coordinates of all 5 atoms:
Cs: 0.0902 0.0902 0.0000  4 Ga 3.99
Cs: 0.9098 0.9098 0.0000  4 Ga 3.99
Na: 0.2500 0.7500 0.5000  4 Na 3.30
Na: 0.7500 0.2500 0.5000  4 Na 3.30
Ga: 0.5000 0.5000 0.0000  8 Cs 3.99

Summary:
formation energy from the elements	0.183	eV/atom
crystal system	tetragonal
energy above the lowest structure with this stoichiometry	17.4	kJ/mol of formula units
D(E_F)	5.2	states/eV/f.u.